Entry 1:
GGA-PBE RbSiAu3, relaxed; energy above the most stable polymorph in this dataset = 418.1 meV per atom; formation energy without anion corrections = 0.1435 eV/atom; N(E_F) = 0.32 states/eV/atom; SG = Amm2, No. 38; magnetic moment = 0.00 μB per atom
1.0
-0.6499 -3.8468 -1.2521
7.2831 0.3444 -4.8380
-3.1101 -2.0517 7.9175
Si Au Rb
1 3 1
Direct
0.0000 0.4121 0.5879
0.5000 0.1620 0.3238
0.5000 0.6762 0.8380
0.0000 0.2690 0.7310
0.5000 0.1087 0.8913

Entry 2:
GGA-PBE Dy2PuInN4, relaxed; formation energy without anion corrections = -1.0405 eV/atom; N(E_F) = 0.85 states/eV/atom; SG = P2/m, No. 10; magnetic moment = 0.62 μB per atom
1.0
3.4648 0.0000 0.0000
0.0000 5.9492 0.0499
0.0000 -2.1312 5.6017
Dy Pu In N
2 1 1 4
Direct
0.5000 0.0000 0.5000
0.0000 0.5000 0.5000
0.5000 0.5000 0.0000
0.0000 0.0000 0.0000
0.5000 0.2490 0.2466
0.5000 0.7510 0.7534
0.0000 0.2600 0.7479
0.0000 0.7400 0.2521

Entry 3:
GGA-PBE Pm8Nd5Dy, relaxed; N(E_F) = 1.46 states/eV/atom; SG = I-4, No. 82; energy relative to the elements = 0.24 eV/atom; magnetic moment = 0.00 μB per atom
1.0
8.2102 0.0000 -2.6423
-4.1820 6.9250 -2.9906
0.1538 0.0000 8.6235
Pm Nd Dy
8 5 1
Direct
0.1708 0.7346 0.0720
0.9280 0.0988 0.6625
0.7306 0.2567 0.3342
0.6658 0.3964 0.9225
0.5262 0.6036 0.2694
0.5638 0.9012 0.8292
0.3375 0.2654 0.4362
0.0775 0.7433 0.4738
0.0310 0.3171 0.1335
0.8665 0.8975 0.1836
0.8164 0.6829 0.7139
0.5000 0.0000 0.5000
0.2861 0.1025 0.9690
0.2500 0.5000 0.7500

Entry 4:
GGA-PBE HF, relaxed; energy above the most stable polymorph in this dataset = 32.5 meV per atom; N(E_F) = 0.00 states/eV/atom; SG = I4/m, No. 87; magnetic moment = 0.00 μB per atom
1.0
7.0294 0.0000 0.0000
0.0000 7.0294 0.0000
0.0000 0.0000 3.3054
H F
8 8
Direct
0.4437 0.6908 0.0000
0.5563 0.3092 0.0000
0.3092 0.4437 0.0000
0.6908 0.5563 0.0000
0.9437 0.1908 0.5000
0.0563 0.8092 0.5000
0.8092 0.9437 0.5000
0.1908 0.0563 0.5000
0.4211 0.2675 0.0000
0.5789 0.7325 0.0000
0.7325 0.4211 0.0000
0.2675 0.5789 0.0000
0.9211 0.7675 0.5000
0.0789 0.2325 0.5000
0.2325 0.9211 0.5000
0.7675 0.0789 0.5000

Entry 5:
GGA-PBE Sc3ZnIr, relaxed; energy above the most stable polymorph in this dataset = 0.0 meV per atom; N(E_F) = 0.63 states/eV/atom; SG = Cmcm, No. 63; energy relative to the elements = -0.57 eV/atom; magnetic moment = 0.00 μB per atom
1.0
-2.3623 -3.9209 0.7714
3.9943 -2.3001 0.5408
-1.3253 -0.1450 9.1723
Sc Zn Ir
6 2 2
Direct
0.7547 0.2500 0.1389
0.3949 0.2500 0.8586
0.5745 0.2500 0.4993
0.2535 0.7500 0.1414
0.8936 0.7500 0.8611
0.0738 0.7500 0.5007
0.4827 0.7500 0.6830
0.1657 0.2500 0.3170
0.6672 0.7500 0.3141
0.9812 0.2500 0.6859

Entry 6:
GGA-PBE NaTlAs, relaxed; energy above the most stable polymorph in this dataset = 65.0 meV per atom; N(E_F) = 0.26 states/eV/atom; SG = P3m1, No. 156; energy relative to the elements = -0.11 eV/atom; magnetic moment = 0.00 μB per atom
1.0
-0.0299 2.6096 2.0921
-5.0718 0.2653 -0.4033
2.1198 -2.8831 3.6264
Na Tl As
1 1 1
Direct
0.6453 0.6667 0.3333
0.0438 0.0000 0.0000
0.3109 0.3333 0.6667

Entry 7:
GGA-PBE ReS2I, relaxed; energy above the most stable polymorph in this dataset = 27.2 meV per atom; formation energy without anion corrections = -0.0374 eV/atom; N(E_F) = 1.32 states/eV/atom; SG = R-3m, No. 166; magnetic moment = 0.20 μB per atom
1.0
-4.8202 -9.2827 5.2247
-2.9093 -10.9005 3.0687
-1.6634 -9.9165 5.9664
I Re S
1 1 2
Direct
0.0000 0.0000 0.0000
0.5000 0.5000 0.5000
0.8763 0.8763 0.8763
0.1237 0.1237 0.1237

Entry 8:
GGA-PBE TlZn3Sb3, relaxed; energy above the most stable polymorph in this dataset = 0.0 meV per atom; formation energy without anion corrections = 0.0066 eV/atom; N(E_F) = 0.06 states/eV/atom; SG = P-1, No. 2; magnetic moment = 0.00 μB per atom
1.0
4.2809 -1.1312 0.7970
-2.3653 8.5169 -6.8103
1.1612 -0.8491 11.9972
Tl Zn Sb
2 6 6
Direct
0.5338 0.6589 0.4098
0.4662 0.3411 0.5902
0.7604 0.1064 0.8215
0.8280 0.1210 0.0741
0.4894 0.6519 0.0596
0.2396 0.8936 0.1785
0.1720 0.8790 0.9259
0.5106 0.3481 0.9404
0.7323 0.8006 0.7514
0.9691 0.4238 0.1170
0.7303 0.9960 0.3508
0.2677 0.1994 0.2486
0.0309 0.5762 0.8830
0.2697 0.0040 0.6492

Entry 9:
GGA-PBE Dy2BePd, relaxed; energy above the most stable polymorph in this dataset = 44.4 meV per atom; N(E_F) = 0.52 states/eV/atom; SG = Fm-3m, No. 225; energy relative to the elements = -0.36 eV/atom; magnetic moment = 0.00 μB per atom
1.0
4.9131 0.0000 0.0000
2.4566 4.2549 0.0000
2.4566 1.4183 4.0116
Be Pd Dy
1 1 2
Direct
0.5000 0.5000 0.5000
0.0000 0.0000 0.0000
0.2500 0.2500 0.2500
0.7500 0.7500 0.7500

Entry 10:
GGA-PBE Cs3RbSe2, relaxed; energy above the most stable polymorph in this dataset = 6.0 meV per atom; formation energy without anion corrections = -1.0339 eV/atom; N(E_F) = 0.00 states/eV/atom; SG = Ibam, No. 72; magnetic moment = 0.00 μB per atom
1.0
-1.7186 7.5288 1.8015
-6.4964 -2.3323 3.5497
8.6252 -3.4167 5.0547
Cs Rb Se
6 2 4
Direct
0.4103 0.6858 0.3716
0.5897 0.3142 0.6284
0.0388 0.8142 0.6284
0.9612 0.1858 0.3716
0.5000 0.7500 0.0000
0.5000 0.2500 0.0000
0.0000 0.2500 0.0000
0.0000 0.7500 0.0000
0.3553 0.1197 0.2394
0.6447 0.8803 0.7606
0.1159 0.3803 0.7606
0.8841 0.6197 0.2394